(1)
GGA-PBE LaCdSe, relaxed; energy relative to the elements, uncorrected = -1.1980 eV/atom; space group = No. 166; total moment = 0.0 μB per formula unit; raw total energy = -25.8 eV per cell
1.0
2.509 1.449 8.128
-2.509 1.449 8.128
0.000 -2.897 8.128
La Cd Se
2 2 2
direct
0.087 0.087 0.087
0.913 0.913 0.913
0.333 0.333 0.333
0.667 0.667 0.667
0.214 0.214 0.214
0.786 0.786 0.786

***

(2)
GGA-PBE CaAc3Pr, relaxed; space group = No. 52; total moment = 0.0 μB per formula unit; raw total energy = -73.0 eV per cell
1.0
6.804 0.000 0.000
0.000 9.431 0.000
0.000 0.000 13.629
Ca Ac Pr
4 12 4
direct
0.250 0.000 0.204
0.250 0.500 0.296
0.750 0.000 0.796
0.750 0.500 0.704
0.088 0.174 0.444
0.088 0.326 0.056
0.174 0.250 0.750
0.326 0.750 0.750
0.412 0.674 0.056
0.412 0.826 0.444
0.588 0.174 0.556
0.588 0.326 0.944
0.674 0.250 0.250
0.826 0.750 0.250
0.912 0.674 0.944
0.912 0.826 0.556
0.250 0.000 0.944
0.250 0.500 0.556
0.750 0.000 0.056
0.750 0.500 0.444

***

(3)
GGA-PBE Y2PtS, relaxed; energy relative to the elements, uncorrected = -1.5351 eV/atom; space group = No. 166; total moment = 0.0 μB per formula unit; raw total energy = -87.7 eV per cell
1.0
3.928 0.000 0.000
-1.964 3.402 0.000
0.000 0.000 20.913
Y Pt S
6 3 3
direct
0.000 0.000 0.249
0.000 0.000 0.751
0.333 0.667 0.418
0.333 0.667 0.916
0.667 0.333 0.084
0.667 0.333 0.582
0.000 0.000 0.500
0.333 0.667 0.167
0.667 0.333 0.833
0.000 0.000 0.000
0.333 0.667 0.667
0.667 0.333 0.333

***

(4)
GGA-PBE Ga3Cu2Pd3, relaxed; space group = No. 63; total moment = 0.0 μB per formula unit; raw total energy = -71.1 eV per cell
1.0
1.991 -4.742 0.000
1.991 4.742 0.000
0.000 0.000 12.557
Ga Cu Pd
6 4 6
direct
0.080 0.920 0.750
0.115 0.885 0.052
0.115 0.885 0.448
0.885 0.115 0.552
0.885 0.115 0.948
0.920 0.080 0.250
0.267 0.733 0.612
0.267 0.733 0.888
0.733 0.267 0.112
0.733 0.267 0.388
0.189 0.811 0.250
0.436 0.564 0.107
0.436 0.564 0.393
0.564 0.436 0.607
0.564 0.436 0.893
0.811 0.189 0.750

***

(5)
GGA-PBE Zr2VTcH, relaxed; space group = No. 123; total moment = 1.5 μB per formula unit; raw total energy = -40.8 eV per cell
1.0
4.643 0.000 0.000
0.000 4.643 0.000
0.000 0.000 3.463
Zr V Tc H
2 1 1 1
direct
0.000 0.500 0.000
0.500 0.000 0.000
0.000 0.000 0.500
0.500 0.500 0.500
0.000 0.000 0.000

***

(6)
GGA-PBE Na2CuAg2, relaxed; space group = No. 127; total moment = 0.0 μB per formula unit; raw total energy = -23.7 eV per cell
1.0
6.746 0.000 0.000
0.000 6.746 0.000
0.000 0.000 4.811
Na Cu Ag
4 2 4
direct
0.173 0.327 0.000
0.327 0.827 0.000
0.673 0.173 0.000
0.827 0.673 0.000
0.000 0.000 0.500
0.500 0.500 0.500
0.145 0.645 0.500
0.355 0.145 0.500
0.645 0.855 0.500
0.855 0.355 0.500